Density functional theory data (GGA-PBE) for a geometry-optimized Cd5In12Pb2 structure.

Output
- Symmetry: No. 12
- N(E_F): 0.425 states/eV/atom
- Energy of formation: 0.049 eV per atom
- Magnetization: 0.000 μB per formula unit

```
Cd5In12Pb2
1.0
-2.6648 4.9184 1.6706
-8.9285 -3.3827 2.9562
-0.6501 -1.2543 9.8947
Cd In Pb
5 12 2
Direct
0.4058 0.1888 0.1888
0.9226 0.3141 0.3141
0.5000 0.0000 0.0000
0.0774 0.6859 0.6859
0.5942 0.8112 0.8112
0.0447 0.9048 0.9048
0.2098 0.5652 0.0309
0.2098 0.0309 0.5652
0.6189 0.6526 0.1506
0.6189 0.1506 0.6526
0.3954 0.3726 0.3726
0.6046 0.6274 0.6274
0.3811 0.3474 0.8494
0.3811 0.8494 0.3474
0.7902 0.4348 0.9691
0.7902 0.9691 0.4348
0.9553 0.0952 0.0952
0.0000 0.3381 0.6619
0.0000 0.6619 0.3381
```